1.
Computed, not measured: Er2TmSn3IrPd2 after structural relaxation at the PBE level of DFT.

Computed properties:
Calculated volume (Å³ per cell): 192
Energy (eV per atom): -5.896

a b c (Å): 3.8212 7.6065 7.6065
angles (deg): 119.97 90.00 90.00
Sites, in units of the cell vectors:
Pd  0.5000  0.6664  0.3342
Pd  0.5000  0.3342  0.6664
Sn  0.5000  0.9998  0.7377
Sn  0.5000  0.7377  0.9998
Sn  0.5000  0.2621  0.2621
Tm  0.0000  0.6018  0.6018
Ir  0.0000  0.9994  0.9994
Er  0.0000  0.3986  0.0000
Er  0.0000  0.0000  0.3986

2.
Computed, not measured: Tb2TmMg3AgPt2 after structural relaxation at the PBE level of DFT.

Computed properties:
Calculated volume (Å³ per cell): 197
Energy (eV per atom): -4.438

a b c (Å): 4.0216 7.5012 7.5012
angles (deg): 119.67 90.00 90.00
Sites, in units of the cell vectors:
Pt  0.5000  0.3374  0.6658
Pt  0.5000  0.6658  0.3374
Tb  0.0000  0.4197  0.9995
Tb  0.0000  0.9995  0.4197
Ag  0.0000  0.9973  0.9973
Tm  0.0000  0.5809  0.5809
Mg  0.5000  0.7464  0.9990
Mg  0.5000  0.9990  0.7464
Mg  0.5000  0.2538  0.2538

3.
Computed, not measured: PmNiIr after structural relaxation at the PBE level of DFT.

Computed properties:
Calculated volume (Å³ per cell): 64
Formation energy from the elements (kJ/mol of atoms): 46.3
Offset from the most stable computed form (meV/atom): 1055

a b c (Å): 4.4977 4.4977 4.4977
angles (deg): 60.00 60.00 60.00
Sites, in units of the cell vectors:
Pm  0.0000  0.0000  0.0000
Ir  0.2500  0.2500  0.2500
Ni  0.7500  0.7500  0.7500

4.
Computed, not measured: CuAg4 after structural relaxation at the PBE level of DFT.

Computed properties:
Calculated volume (Å³ per cell): 167
Formation energy from the elements (kJ/mol of atoms): 5.4
Offset from the most stable computed form (meV/atom): 31

a b c (Å): 7.6141 7.6141 5.7744
angles (deg): 101.63 101.63 30.66
Sites, in units of the cell vectors:
Ag  0.3985  0.3985  0.7010
Ag  0.0000  0.0000  0.5000
Ag  0.3927  0.3927  0.1878
Ag  0.0000  0.0000  0.0000
Ag  0.6073  0.6073  0.8122
Ag  0.7963  0.7963  0.3887
Ag  0.2037  0.2037  0.6113
Ag  0.6015  0.6015  0.2990
Cu  0.2024  0.2024  0.0953
Cu  0.7976  0.7976  0.9047

5.
Computed, not measured: MgNpF6 after structural relaxation at the PBE level of DFT.

Computed properties:
Calculated volume (Å³ per cell): 98
Energy (eV per atom): -6.619

a b c (Å): 4.9015 4.9075 5.4643
angles (deg): 63.60 63.47 60.20
Sites, in units of the cell vectors:
F  0.0522  0.7732  0.7603
F  0.9478  0.2268  0.2397
F  0.5871  0.9466  0.2397
F  0.2270  0.5876  0.2378
F  0.7730  0.4124  0.7622
F  0.4129  0.0534  0.7603
Mg  0.0000  0.0000  0.0000
Np  0.5000  0.5000  0.5000

6.
Computed, not measured: DyBiPd after structural relaxation at the PBE level of DFT.

Computed properties:
Calculated volume (Å³ per cell): 84
Energy (eV per atom): -4.919

a b c (Å): 4.9174 4.9174 4.9174
angles (deg): 60.00 60.00 60.00
Sites, in units of the cell vectors:
Bi  0.2500  0.2500  0.2500
Dy  0.0000  0.0000  0.0000
Pd  0.7500  0.7500  0.7500